[1]
Crystalline Hf4Re2Mo at its relaxed geometry, computed with PBE.

Cell lengths 4.880, 4.880, 13.162 Å; angles 90.00, 90.00, 90.00 degrees
Space group I4/mmm (No. 139)
Asymmetric unit:
Hf 0.000 0.000 0.197 (multiplicity 4)
Hf 0.000 0.500 0.000 (multiplicity 4)
Re 0.000 0.000 0.386 (multiplicity 4)
Mo 0.000 0.000 0.000 (multiplicity 2)

Energy of formation from the pure elements ... 6.64 eV per formula unit



[2]
Crystalline Mg2ZrRh at its relaxed geometry, computed with PBE.

Cell lengths 3.137, 3.137, 7.588 Å; angles 90.00, 90.00, 90.00 degrees
Space group P4/mmm (No. 123)
Asymmetric unit:
Mg 0.000 0.000 0.198 (multiplicity 2)
Zr 0.500 0.500 0.500 (multiplicity 1)
Rh 0.500 0.500 0.000 (multiplicity 1)

Energy of formation from the pure elements ... -0.85 eV per formula unit



[3]
Crystalline SmBi2Pb at its relaxed geometry, computed with PBE.

Cell lengths 4.285, 4.285, 6.790 Å; angles 90.00, 90.00, 90.00 degrees
Space group P4/mmm (No. 123)
Asymmetric unit:
Sm 0.000 0.000 0.000 (multiplicity 1)
Bi 0.500 0.500 0.236 (multiplicity 2)
Pb 0.000 0.000 0.500 (multiplicity 1)

Energy of formation from the pure elements ... -1.62 eV per formula unit
Energy relative to the lowest polymorph listed for this composition ... 0.0119 eV per atom



[4]
Crystalline AlMo2Cl at its relaxed geometry, computed with PBE.

Cell lengths 9.784, 2.976, 4.820 Å; angles 90.00, 112.35, 90.00 degrees
Space group Cm (No. 8)
Asymmetric unit:
Al 0.000 0.000 0.000 (multiplicity 2)
Mo 0.253 0.500 0.161 (multiplicity 2)
Mo 0.498 0.000 0.486 (multiplicity 2)
Cl 0.225 0.000 0.737 (multiplicity 2)

Raw formation energy ... 1.581 eV per formula unit
Energy relative to the lowest polymorph listed for this composition ... 0.3585 eV per atom



[5]
Crystalline AcDy6Er2Tm at its relaxed geometry, computed with PBE.

Cell lengths 9.213, 15.154, 9.452 Å; angles 90.00, 94.69, 90.00 degrees
Space group C2/c (No. 15)
Asymmetric unit:
Ac 0.000 0.030 0.250 (multiplicity 4)
Dy 0.059 0.188 0.943 (multiplicity 8)
Dy 0.101 0.388 0.115 (multiplicity 8)
Dy 0.218 0.228 0.318 (multiplicity 8)
Er 0.238 0.443 0.450 (multiplicity 8)
Tm 0.000 0.413 0.750 (multiplicity 4)

Energy of formation from the pure elements ... 1.31 eV per formula unit



[6]
Crystalline Pm6BiTe5 at its relaxed geometry, computed with PBE.

Cell lengths 7.753, 13.421, 7.797 Å; angles 90.00, 109.34, 90.00 degrees
Space group C2/m (No. 12)
Asymmetric unit:
Pm 0.248 0.000 0.250 (multiplicity 4)
Pm 0.249 0.167 0.749 (multiplicity 8)
Bi 0.000 0.500 0.000 (multiplicity 2)
Te 0.000 0.000 0.500 (multiplicity 2)
Te 0.000 0.167 0.000 (multiplicity 4)
Te 0.000 0.334 0.500 (multiplicity 4)

Raw formation energy ... -16.069 eV per formula unit



[7]
Crystalline Si2HgMo at its relaxed geometry, computed with PBE.

Cell lengths 3.408, 3.408, 5.621 Å; angles 90.00, 90.00, 90.00 degrees
Space group P4mm (No. 99)
Asymmetric unit:
Si 0.000 0.000 0.000 (multiplicity 1)
Si 0.500 0.500 0.262 (multiplicity 1)
Hg 0.000 0.000 0.503 (multiplicity 1)
Mo 0.500 0.500 0.836 (multiplicity 1)

Raw formation energy ... 0.890 eV per formula unit



[8]
Crystalline SrNiBr at its relaxed geometry, computed with PBE.

Cell lengths 3.714, 3.714, 11.345 Å; angles 90.00, 90.00, 90.00 degrees
Space group I4mm (No. 107)
Asymmetric unit:
Sr 0.000 0.000 0.000 (multiplicity 2)
Ni 0.000 0.000 0.660 (multiplicity 2)
Br 0.000 0.000 0.335 (multiplicity 2)

Raw formation energy ... -0.748 eV per formula unit



[9]
Crystalline CaNb2Se at its relaxed geometry, computed with PBE.

Cell lengths 3.956, 3.956, 22.060 Å; angles 90.00, 90.00, 90.00 degrees
Space group I-42d (No. 122)
Asymmetric unit:
Ca 0.000 0.000 0.000 (multiplicity 4)
Nb 0.240 0.250 0.625 (multiplicity 8)
Se 0.000 0.000 0.500 (multiplicity 4)

Raw formation energy ... 0.387 eV per formula unit



[10]
Crystalline La3Nd4Sm3 at its relaxed geometry, computed with PBE.

Cell lengths 3.852, 13.755, 13.691 Å; angles 90.00, 90.00, 90.00 degrees
Space group Amm2 (No. 38)
Asymmetric unit:
La 0.000 0.000 0.000 (multiplicity 2)
La 0.500 0.247 0.420 (multiplicity 4)
Nd 0.500 0.000 0.544 (multiplicity 2)
Nd 0.500 0.000 0.797 (multiplicity 2)
Nd 0.500 0.128 0.173 (multiplicity 4)
Sm 0.000 0.000 0.342 (multiplicity 2)
Sm 0.000 0.170 0.670 (multiplicity 4)

Energy of formation from the pure elements ... 0.90 eV per formula unit



[11]
Crystalline Hf3BiO at its relaxed geometry, computed with PBE.

Cell lengths 5.391, 5.391, 5.391 Å; angles 90.00, 90.00, 90.00 degrees
Space group Pm-3m (No. 221)
Asymmetric unit:
Hf 0.000 0.000 0.500 (multiplicity 3)
Bi 0.000 0.000 0.000 (multiplicity 1)
O 0.500 0.500 0.500 (multiplicity 1)

Raw formation energy ... 9.747 eV per formula unit
Energy relative to the lowest polymorph listed for this composition ... 2.7239 eV per atom



[12]
Crystalline CeMgGe2 at its relaxed geometry, computed with PBE.

Cell lengths 8.108, 3.981, 10.899 Å; angles 90.00, 90.00, 90.00 degrees
Space group Pnma (No. 62)
Asymmetric unit:
Ce 0.125 0.250 0.145 (multiplicity 4)
Mg 0.013 0.750 0.396 (multiplicity 4)
Ge 0.166 0.250 0.808 (multiplicity 4)
Ge 0.249 0.750 0.949 (multiplicity 4)

Energy of formation from the pure elements ... -1.97 eV per formula unit